(1)
Density functional theory data (PBE) for crystalline Sr2GaNiH at its relaxed geometry.

Size of the total moment   0.00 μB per formula unit
DOS at the Fermi energy   3.7 states/eV/cell
Uncorrected energy   -3.305 eV per atom
Crystal system   tetragonal

Cell: 5.447 5.447 3.598 Å, 90.00 90.00 90.00°
Space group P4/mmm (No. 123)
Symmetry-distinct sites (fractional):
Sr  0.000  0.500  0.000 (multiplicity 2)
Ga  0.000  0.000  0.500 (multiplicity 1)
Ni  0.500  0.500  0.500 (multiplicity 1)
H  0.500  0.500  0.000 (multiplicity 1)

***

(2)
Density functional theory data (PBE) for crystalline SrGaNi2H at its relaxed geometry.

Size of the total moment   0.00 μB per formula unit
DOS at the Fermi energy   12.7 states/eV/cell
Uncorrected energy   -4.250 eV per atom
Crystal system   orthorhombic

Cell: 3.899 10.861 7.003 Å, 90.00 90.00 90.00°
Space group Cmcm (No. 63)
Symmetry-distinct sites (fractional):
Sr  0.000  0.054  0.250 (multiplicity 4)
Ga  0.000  0.223  0.750 (multiplicity 4)
Ni  0.000  0.334  0.059 (multiplicity 8)
H  0.000  0.500  0.000 (multiplicity 4)

***

(3)
Density functional theory data (PBE) for crystalline Ta2GaNiH at its relaxed geometry.

Size of the total moment   0.00 μB per formula unit
DOS at the Fermi energy   2.3 states/eV/cell
Uncorrected energy   -7.345 eV per atom
Crystal system   tetragonal

Cell: 4.074 4.074 3.844 Å, 90.00 90.00 90.00°
Space group P4/mmm (No. 123)
Symmetry-distinct sites (fractional):
Ta  0.000  0.500  0.000 (multiplicity 2)
Ga  0.000  0.000  0.500 (multiplicity 1)
Ni  0.500  0.500  0.500 (multiplicity 1)
H  0.500  0.500  0.000 (multiplicity 1)

***

(4)
Density functional theory data (PBE) for crystalline Ga2TcNiH at its relaxed geometry.

Size of the total moment   0.00 μB per formula unit
DOS at the Fermi energy   3.3 states/eV/cell
Uncorrected energy   -4.834 eV per atom
Crystal system   tetragonal

Cell: 4.724 4.724 2.889 Å, 90.00 90.00 90.00°
Space group P4/mmm (No. 123)
Symmetry-distinct sites (fractional):
Ga  0.000  0.500  0.000 (multiplicity 2)
Tc  0.000  0.000  0.500 (multiplicity 1)
Ni  0.500  0.500  0.000 (multiplicity 1)
H  0.500  0.500  0.500 (multiplicity 1)